Entry 1:
Compound: ErNbGe2O8
Source: the Alexandria database
Functional: PBE-GGA
Structure: relaxed

Summary:
VASP energy = -91.031 eV per cell
Total magnetic moment = 0.00 μB per formula unit
Theoretical density = 6.0 g/cm3
N(E_F) = 0.00 states/eV per cell

a = 5.7598 Å, b = 5.7598 Å, c = 5.7598 Å
α = 107.28°, β = 107.28°, γ = 113.95°
Atoms (fractional coordinates):
Er 0.2500 0.7500 0.5000
Nb 0.0000 0.0000 0.0000
Ge 0.7500 0.2500 0.5000
Ge 0.5000 0.5000 0.0000
O 0.3688 0.0652 0.3037
O 0.2956 0.4726 0.1770
O 0.2956 0.1186 0.8230
O 0.7615 0.0652 0.6963
O 0.8814 0.7044 0.1770
O 0.9348 0.2385 0.3037
O 0.9348 0.6312 0.6963
O 0.5274 0.7044 0.8230

Entry 2:
Compound: NdErGe4
Source: the Alexandria database
Functional: PBE-GGA
Structure: relaxed

Summary:
VASP energy = -29.718 eV per cell
Total magnetic moment = 0.00 μB per formula unit
Theoretical density = 7.7 g/cm3
N(E_F) = 7.15 states/eV per cell

a = 5.6756 Å, b = 5.6756 Å, c = 5.6756 Å
α = 60.00°, β = 60.00°, γ = 60.00°
Atoms (fractional coordinates):
Ge 0.6235 0.6235 0.1294
Ge 0.6235 0.1294 0.6235
Ge 0.6235 0.6235 0.6235
Ge 0.1294 0.6235 0.6235
Nd 0.0000 0.0000 0.0000
Er 0.2500 0.2500 0.2500

Entry 3:
Compound: Nd3Er3Ge4
Source: the Alexandria database
Functional: PBE-GGA
Structure: relaxed

Summary:
VASP energy = -54.250 eV per cell
Total magnetic moment = 0.00 μB per formula unit
Theoretical density = 8.0 g/cm3
N(E_F) = 8.80 states/eV per cell

a = 4.3628 Å, b = 7.6427 Å, c = 7.6427 Å
α = 89.87°, β = 90.00°, γ = 90.00°
Atoms (fractional coordinates):
Nd 0.5000 0.8277 0.1723
Nd 0.5000 0.3234 0.3266
Nd 0.5000 0.6734 0.6766
Er 0.0000 0.5004 0.0002
Er 0.0000 0.9998 0.4996
Er 0.5000 0.1741 0.8259
Ge 0.0000 0.6222 0.3778
Ge 0.0000 0.3696 0.6304
Ge 0.0000 0.8835 0.8741
Ge 0.0000 0.1259 0.1165

Entry 4:
Compound: NdEr2Ge
Source: the Alexandria database
Functional: PBE-GGA
Structure: relaxed

Summary:
VASP energy = -19.491 eV per cell
Total magnetic moment = 0.00 μB per formula unit
Theoretical density = 7.8 g/cm3
N(E_F) = 5.88 states/eV per cell

a = 3.7304 Å, b = 3.7304 Å, c = 10.0050 Å
α = 79.26°, β = 79.26°, γ = 60.00°
Atoms (fractional coordinates):
Nd 0.5008 0.5008 0.4977
Er 0.0644 0.0644 0.8068
Er 0.2686 0.2686 0.1943
Ge 0.6663 0.6663 0.0012

Entry 5:
Compound: Nd2ErGe
Source: the Alexandria database
Functional: PBE-GGA
Structure: relaxed

Summary:
VASP energy = -18.671 eV per cell
Total magnetic moment = 0.00 μB per formula unit
Theoretical density = 6.8 g/cm3
N(E_F) = 6.47 states/eV per cell

a = 3.6721 Å, b = 3.6721 Å, c = 11.2393 Å
α = 80.60°, β = 80.60°, γ = 60.00°
Atoms (fractional coordinates):
Ge 0.5000 0.5000 0.5000
Nd 0.1036 0.1036 0.6891
Nd 0.8964 0.8964 0.3109
Er 0.0000 0.0000 0.0000

Entry 6:
Compound: Nd3ErGe2
Source: the Alexandria database
Functional: PBE-GGA
Structure: relaxed

Summary:
VASP energy = -31.768 eV per cell
Total magnetic moment = 0.05 μB per formula unit
Theoretical density = 7.4 g/cm3
N(E_F) = 6.30 states/eV per cell

a = 4.4460 Å, b = 4.5643 Å, c = 8.8206 Å
α = 104.98°, β = 104.55°, γ = 90.00°
Atoms (fractional coordinates):
Nd 0.5000 0.5000 0.0000
Nd 0.8194 0.3194 0.6383
Nd 0.1806 0.6806 0.3617
Er 0.0000 0.0000 0.0000
Ge 0.3680 0.8675 0.7347
Ge 0.6320 0.1325 0.2653

Entry 7:
Compound: NdEr2Ge
Source: the Alexandria database
Functional: PBE-GGA
Structure: relaxed

Summary:
VASP energy = -19.475 eV per cell
Total magnetic moment = 0.00 μB per formula unit
Theoretical density = 7.9 g/cm3
N(E_F) = 4.76 states/eV per cell

a = 3.6823 Å, b = 3.6823 Å, c = 10.1404 Å
α = 79.54°, β = 79.54°, γ = 60.00°
Atoms (fractional coordinates):
Ge 0.0000 0.0000 0.0000
Nd 0.5000 0.5000 0.5000
Er 0.2679 0.2679 0.1963
Er 0.7321 0.7321 0.8037

Entry 8:
Compound: Nd2ErGe
Source: the Alexandria database
Functional: PBE-GGA
Structure: relaxed

Summary:
VASP energy = -20.015 eV per cell
Total magnetic moment = 0.00 μB per formula unit
Theoretical density = 8.1 g/cm3
N(E_F) = 4.10 states/eV per cell

a = 4.8040 Å, b = 4.7419 Å, c = 4.7419 Å
α = 90.00°, β = 90.00°, γ = 90.00°
Atoms (fractional coordinates):
Ge 0.5000 0.0000 0.0000
Nd 0.0000 0.0000 0.5000
Nd 0.0000 0.5000 0.0000
Er 0.5000 0.5000 0.5000

Entry 9:
Compound: Nd2Er3Ge4
Source: the Alexandria database
Functional: PBE-GGA
Structure: relaxed

Summary:
VASP energy = -99.203 eV per cell
Total magnetic moment = 0.00 μB per formula unit
Theoretical density = 8.1 g/cm3
N(E_F) = 12.02 states/eV per cell

a = 7.6339 Å, b = 7.9182 Å, c = 7.8545 Å
α = 90.00°, β = 90.00°, γ = 110.87°
Atoms (fractional coordinates):
Nd 0.5668 0.1952 0.3200
Nd 0.9332 0.8048 0.8200
Nd 0.4332 0.8048 0.6800
Nd 0.0668 0.1952 0.1800
Er 0.0000 0.5000 0.5000
Er 0.5000 0.5000 0.0000
Er 0.7381 0.2427 0.8346
Er 0.7619 0.7573 0.3346
Er 0.2619 0.7573 0.1654
Er 0.2381 0.2427 0.6654
Ge 0.8388 0.0859 0.5403
Ge 0.6612 0.9141 0.0403
Ge 0.1612 0.9141 0.4597
Ge 0.3388 0.0859 0.9597
Ge 0.8684 0.4931 0.1308
Ge 0.6316 0.5069 0.6308
Ge 0.1316 0.5069 0.8692
Ge 0.3684 0.4931 0.3692

Entry 10:
Compound: NdErNi2Ge2
Source: the Alexandria database
Functional: PBE-GGA
Structure: relaxed

Summary:
VASP energy = -34.601 eV per cell
Total magnetic moment = 0.00 μB per formula unit
Theoretical density = 8.4 g/cm3
N(E_F) = 5.45 states/eV per cell

a = 4.2523 Å, b = 4.2523 Å, c = 7.2449 Å
α = 90.00°, β = 90.00°, γ = 120.00°
Atoms (fractional coordinates):
Nd 0.0000 0.0000 0.0000
Er 0.0000 0.0000 0.5000
Ni 0.3333 0.6667 0.7087
Ni 0.6667 0.3333 0.2913
Ge 0.3333 0.6667 0.2726
Ge 0.6667 0.3333 0.7274

Entry 11:
Compound: Nd2Er4Ge3O2
Source: the Alexandria database
Functional: PBE-GGA
Structure: relaxed

Summary:
VASP energy = -69.118 eV per cell
Total magnetic moment = 0.05 μB per formula unit
Theoretical density = 8.1 g/cm3
N(E_F) = 8.23 states/eV per cell

a = 4.5303 Å, b = 4.5303 Å, c = 12.4315 Å
α = 100.50°, β = 100.50°, γ = 90.00°
Atoms (fractional coordinates):
Nd 0.3022 0.3022 0.6043
Nd 0.6978 0.6978 0.3957
Er 0.4207 0.9207 0.8413
Er 0.9207 0.4207 0.8413
Er 0.0793 0.5793 0.1587
Er 0.5793 0.0793 0.1587
Ge 0.0000 0.0000 0.0000
Ge 0.1712 0.1712 0.3423
Ge 0.8288 0.8288 0.6577
O 0.4102 0.4102 0.8203
O 0.5898 0.5898 0.1797

Entry 12:
Compound: Nd2ErGe3Pd4
Source: the Alexandria database
Functional: PBE-GGA
Structure: relaxed

Summary:
VASP energy = -57.208 eV per cell
Total magnetic moment = 0.00 μB per formula unit
Theoretical density = 8.8 g/cm3
N(E_F) = 7.67 states/eV per cell

a = 4.2905 Å, b = 4.2905 Å, c = 11.2123 Å
α = 90.00°, β = 90.00°, γ = 90.00°
Atoms (fractional coordinates):
Nd 0.5000 0.0000 0.2218
Nd 0.0000 0.5000 0.7782
Er 0.5000 0.5000 0.5000
Ge 0.0000 0.0000 0.5000
Ge 0.5000 0.0000 0.8769
Ge 0.0000 0.5000 0.1231
Pd 0.5000 0.5000 0.0000
Pd 0.0000 0.0000 0.0000
Pd 0.5000 0.0000 0.6553
Pd 0.0000 0.5000 0.3447

Entry 13:
Compound: NdErGe2Pd2
Source: the Alexandria database
Functional: PBE-GGA
Structure: relaxed

Summary:
VASP energy = -34.532 eV per cell
Total magnetic moment = 0.00 μB per formula unit
Theoretical density = 9.0 g/cm3
N(E_F) = 4.68 states/eV per cell

a = 4.4494 Å, b = 4.4494 Å, c = 7.2104 Å
α = 90.00°, β = 90.00°, γ = 120.00°
Atoms (fractional coordinates):
Nd 0.0000 0.0000 0.0000
Er 0.0000 0.0000 0.5000
Ge 0.3333 0.6667 0.2670
Ge 0.6667 0.3333 0.7330
Pd 0.3333 0.6667 0.7067
Pd 0.6667 0.3333 0.2933

Entry 14:
Compound: NdErGePd
Source: the Alexandria database
Functional: PBE-GGA
Structure: relaxed

Summary:
VASP energy = -22.535 eV per cell
Total magnetic moment = 0.00 μB per formula unit
Theoretical density = 8.5 g/cm3
N(E_F) = 1.58 states/eV per cell

a = 3.9922 Å, b = 4.3355 Å, c = 5.8630 Å
α = 90.00°, β = 109.90°, γ = 90.00°
Atoms (fractional coordinates):
Nd 0.1412 0.0000 0.2824
Er 0.8644 0.5000 0.7288
Ge 0.5765 0.5000 0.1531
Pd 0.4179 0.0000 0.8358

Entry 15:
Compound: NdErGePd
Source: the Alexandria database
Functional: PBE-GGA
Structure: relaxed

Summary:
VASP energy = -22.173 eV per cell
Total magnetic moment = 0.00 μB per formula unit
Theoretical density = 8.8 g/cm3
N(E_F) = 1.89 states/eV per cell

a = 5.0797 Å, b = 5.0797 Å, c = 5.0797 Å
α = 60.00°, β = 60.00°, γ = 60.00°
Atoms (fractional coordinates):
Ge 0.0000 0.0000 0.0000
Nd 0.2500 0.2500 0.2500
Pd 0.5000 0.5000 0.5000
Er 0.7500 0.7500 0.7500

Entry 16:
Compound: NdErGePt
Source: the Alexandria database
Functional: PBE-GGA
Structure: relaxed

Summary:
VASP energy = -23.502 eV per cell
Total magnetic moment = 0.00 μB per formula unit
Theoretical density = 10.4 g/cm3
N(E_F) = 1.47 states/eV per cell

a = 5.0741 Å, b = 5.0741 Å, c = 5.0741 Å
α = 60.00°, β = 60.00°, γ = 60.00°
Atoms (fractional coordinates):
Ge 0.5000 0.5000 0.5000
Nd 0.2500 0.2500 0.2500
Pt 0.0000 0.0000 0.0000
Er 0.7500 0.7500 0.7500

Entry 17:
Compound: NdErGePt
Source: the Alexandria database
Functional: PBE-GGA
Structure: relaxed

Summary:
VASP energy = -24.111 eV per cell
Total magnetic moment = 0.00 μB per formula unit
Theoretical density = 10.2 g/cm3
N(E_F) = 1.46 states/eV per cell

a = 3.9807 Å, b = 4.2910 Å, c = 5.8905 Å
α = 90.00°, β = 109.75°, γ = 90.00°
Atoms (fractional coordinates):
Nd 0.1432 0.0000 0.2864
Er 0.8656 0.5000 0.7312
Ge 0.5762 0.5000 0.1524
Pt 0.4149 0.0000 0.8299

Entry 18:
Compound: NdErGe2Pt5
Source: the Alexandria database
Functional: PBE-GGA
Structure: relaxed

Summary:
VASP energy = -56.610 eV per cell
Total magnetic moment = 0.00 μB per formula unit
Theoretical density = 14.2 g/cm3
N(E_F) = 3.13 states/eV per cell

a = 4.3152 Å, b = 4.3152 Å, c = 9.0143 Å
α = 90.00°, β = 90.00°, γ = 90.00°
Atoms (fractional coordinates):
Nd 0.0000 0.0000 0.5000
Er 0.0000 0.0000 0.0000
Ge 0.5000 0.5000 0.1341
Ge 0.5000 0.5000 0.8659
Pt 0.0000 0.5000 0.2666
Pt 0.5000 0.0000 0.2666
Pt 0.0000 0.5000 0.7334
Pt 0.5000 0.0000 0.7334
Pt 0.5000 0.5000 0.5000

Entry 19:
Compound: NdEr2Ge2Pt7
Source: the Alexandria database
Functional: PBE-GGA
Structure: relaxed

Summary:
VASP energy = -76.403 eV per cell
Total magnetic moment = 0.00 μB per formula unit
Theoretical density = 14.3 g/cm3
N(E_F) = 4.79 states/eV per cell

a = 4.0825 Å, b = 4.0825 Å, c = 14.1175 Å
α = 83.01°, β = 83.01°, γ = 89.21°
Atoms (fractional coordinates):
Nd 0.0000 0.0000 0.0000
Er 0.8682 0.8682 0.3602
Er 0.1318 0.1318 0.6398
Ge 0.6108 0.6108 0.7371
Ge 0.3892 0.3892 0.2629
Pt 0.5000 0.5000 0.0000
Pt 0.3568 0.3568 0.4353
Pt 0.6432 0.6432 0.5647
Pt 0.9309 0.4313 0.1619
Pt 0.4313 0.9309 0.1619
Pt 0.5687 0.0691 0.8381
Pt 0.0691 0.5687 0.8381

Entry 20:
Compound: Nd2ErGe3Rh4
Source: the Alexandria database
Functional: PBE-GGA
Structure: relaxed

Summary:
VASP energy = -66.251 eV per cell
Total magnetic moment = 0.00 μB per formula unit
Theoretical density = 9.2 g/cm3
N(E_F) = 6.58 states/eV per cell

a = 4.1890 Å, b = 4.1890 Å, c = 11.1736 Å
α = 90.00°, β = 90.00°, γ = 90.00°
Atoms (fractional coordinates):
Nd 0.5000 0.0000 0.2306
Nd 0.0000 0.5000 0.7694
Er 0.5000 0.5000 0.5000
Ge 0.0000 0.0000 0.5000
Ge 0.5000 0.0000 0.8782
Ge 0.0000 0.5000 0.1218
Rh 0.5000 0.5000 0.0000
Rh 0.0000 0.0000 0.0000
Rh 0.5000 0.0000 0.6564
Rh 0.0000 0.5000 0.3436

Entry 21:
Compound: NdErGe2Rh5
Source: the Alexandria database
Functional: PBE-GGA
Structure: relaxed

Summary:
VASP energy = -61.448 eV per cell
Total magnetic moment = 0.00 μB per formula unit
Theoretical density = 10.1 g/cm3
N(E_F) = 6.13 states/eV per cell

a = 4.2122 Å, b = 4.2122 Å, c = 8.9777 Å
α = 90.00°, β = 90.00°, γ = 90.00°
Atoms (fractional coordinates):
Nd 0.0000 0.0000 0.5000
Er 0.0000 0.0000 0.0000
Ge 0.5000 0.5000 0.1388
Ge 0.5000 0.5000 0.8612
Rh 0.0000 0.5000 0.2656
Rh 0.5000 0.0000 0.2656
Rh 0.0000 0.5000 0.7344
Rh 0.5000 0.0000 0.7344
Rh 0.5000 0.5000 0.5000

Entry 22:
Compound: NdErTlGe
Source: the Alexandria database
Functional: PBE-GGA
Structure: relaxed

Summary:
VASP energy = -18.000 eV per cell
Total magnetic moment = 0.00 μB per formula unit
Theoretical density = 9.4 g/cm3
N(E_F) = 2.87 states/eV per cell

a = 5.2817 Å, b = 5.2817 Å, c = 5.2817 Å
α = 60.00°, β = 60.00°, γ = 60.00°
Atoms (fractional coordinates):
Tl 0.7500 0.7500 0.7500
Nd 0.5000 0.5000 0.5000
Ge 0.2500 0.2500 0.2500
Er 0.0000 0.0000 0.0000

Entry 23:
Compound: ErNi3Ge2
Source: the Alexandria database
Functional: PBE-GGA
Structure: relaxed

Summary:
VASP energy = -104.515 eV per cell
Total magnetic moment = 0.00 μB per formula unit
Theoretical density = 9.1 g/cm3
N(E_F) = 11.49 states/eV per cell

a = 3.8335 Å, b = 8.0419 Å, c = 9.4090 Å
α = 106.84°, β = 90.00°, γ = 103.79°
Atoms (fractional coordinates):
Er 0.1573 0.3146 0.7016
Er 0.8427 0.6854 0.2984
Er 0.0000 0.0000 0.0000
Ni 0.0452 0.0903 0.3416
Ni 0.9548 0.9097 0.6584
Ni 0.2141 0.4283 0.3913
Ni 0.7859 0.5717 0.6087
Ni 0.6218 0.2436 0.2012
Ni 0.3782 0.7564 0.7988
Ni 0.5000 0.0000 0.5000
Ni 0.3215 0.6429 0.0303
Ni 0.6785 0.3571 0.9697
Ge 0.1984 0.3968 0.1310
Ge 0.8016 0.6032 0.8690
Ge 0.4645 0.9289 0.2206
Ge 0.5355 0.0711 0.7794
Ge 0.3601 0.7202 0.5425
Ge 0.6399 0.2798 0.4575

Entry 24:
Compound: Er3NiGe3
Source: the Alexandria database
Functional: PBE-GGA
Structure: relaxed

Summary:
VASP energy = -78.375 eV per cell
Total magnetic moment = 0.00 μB per formula unit
Theoretical density = 9.1 g/cm3
N(E_F) = 7.79 states/eV per cell

a = 4.2015 Å, b = 5.6355 Å, c = 13.0797 Å
α = 84.46°, β = 80.76°, γ = 68.11°
Atoms (fractional coordinates):
Er 0.5313 0.3196 0.6179
Er 0.4687 0.6804 0.3821
Er 0.2547 0.2616 0.2289
Er 0.7453 0.7383 0.7711
Er 0.4020 0.2750 0.9209
Er 0.5980 0.7250 0.0791
Ni 0.7546 0.0926 0.3982
Ni 0.2454 0.9074 0.6018
Ge 0.8585 0.7386 0.5443
Ge 0.1415 0.2614 0.4557
Ge 0.1262 0.8240 0.9236
Ge 0.8738 0.1760 0.0764
Ge 0.9606 0.8409 0.2379
Ge 0.0394 0.1591 0.7621